DFT (PBE) results for a geometry-optimized Li2LaCuO4 structure. Values from VASP.

The structure in Quantum ESPRESSO input format:
```
&SYSTEM
  ibrav = 0, nat = 16, ntyp = 4
/
ATOMIC_SPECIES
Li 6.94 Li.upf
La 138.91 La.upf
Cu 63.55 Cu.upf
O 16.00 O.upf
CELL_PARAMETERS angstrom
1.695 -5.889 0.000
1.695 5.889 0.000
0.000 0.000 9.723
ATOMIC_POSITIONS angstrom
Li 1.695 4.711 5.272
Li 1.695 4.711 9.313
Li 1.695 -4.711 0.411
Li 1.695 -4.711 4.451
La 1.695 0.844 7.293
La 1.695 -0.844 2.431
Cu 1.695 2.325 2.431
Cu 1.695 -2.325 7.293
O 1.695 4.725 7.293
O 1.695 3.742 1.215
O 1.695 3.742 3.646
O 1.695 0.000 0.000
O 1.695 0.000 4.862
O 1.695 -3.742 6.077
O 1.695 -3.742 8.508
O 1.695 -4.725 2.431
```

Calculated values
**DFT total energy**: -93.26 eV for the cell shown
**Raw formation energy**: -1.7433 eV per atom
**SG**: Cmcm
**Magnetic moment**: 1.623 μB/f.u.



DFT (PBE) results for a geometry-optimized LiLa8Cu3O16 structure. Values from VASP.

The structure in Quantum ESPRESSO input format:
```
&SYSTEM
  ibrav = 0, nat = 28, ntyp = 4
/
ATOMIC_SPECIES
Li 6.94 Li.upf
La 138.91 La.upf
Cu 63.55 Cu.upf
O 16.00 O.upf
CELL_PARAMETERS angstrom
7.082 0.000 0.000
1.987 7.331 0.000
3.026 3.098 7.292
ATOMIC_POSITIONS angstrom
Li 0.000 0.000 0.000
La 3.663 4.940 1.325
La 5.684 8.332 4.951
La 4.730 4.578 5.022
La 2.704 1.204 1.273
La 9.391 9.224 6.019
La 7.365 5.851 2.271
La 6.411 2.096 2.341
La 8.432 5.489 5.967
Cu 0.993 3.666 0.000
Cu 3.017 7.042 3.641
Cu 9.077 3.386 3.651
O 1.513 1.549 3.646
O 2.506 5.214 3.646
O 2.525 3.242 5.446
O 3.545 6.896 5.452
O 4.621 8.519 7.254
O 7.208 9.940 6.625
O 5.241 6.448 2.993
O 4.231 2.701 2.908
O 6.275 5.939 6.675
O 5.819 4.490 0.617
O 7.863 7.728 4.384
O 6.854 3.981 4.299
O 4.887 0.489 0.667
O 7.474 1.910 0.039
O 8.549 3.533 1.841
O 9.569 7.187 1.846
```

Calculated values
**ΔE to the lowest computed polymorph**: 4.03 kJ/mol of atoms
**DFT total energy**: -207.74 eV for the cell shown
**Raw formation energy**: -2.6708 eV per atom
**SG**: P-1
**Magnetic moment**: 0.000 μB/f.u.



DFT (PBE) results for a geometry-optimized LiLa8Cu3O16 structure. Values from VASP.

The structure in Quantum ESPRESSO input format:
```
&SYSTEM
  ibrav = 0, nat = 28, ntyp = 4
/
ATOMIC_SPECIES
Li 6.94 Li.upf
La 138.91 La.upf
Cu 63.55 Cu.upf
O 16.00 O.upf
CELL_PARAMETERS angstrom
6.920 0.000 0.000
-2.553 7.959 0.000
-3.298 -3.210 7.768
ATOMIC_POSITIONS angstrom
Li 0.000 0.000 0.000
La -3.190 5.904 2.485
La -1.782 1.761 2.482
La 0.222 6.977 1.312
La 1.704 2.861 1.296
La 0.551 -1.753 6.286
La -0.757 2.251 6.425
La 2.755 3.316 5.103
La 4.003 -0.629 5.178
Cu 1.035 0.742 3.775
Cu -0.105 4.494 4.019
Cu 2.088 1.236 7.508
O -2.016 6.132 0.233
O -0.730 2.924 0.432
O -3.770 5.671 4.786
O -2.373 1.660 4.805
O 0.535 0.416 1.985
O -2.519 3.880 6.709
O -1.146 -0.145 6.720
O -0.822 6.149 3.638
O 0.413 2.752 3.517
O 1.903 5.256 0.964
O 3.384 1.267 0.872
O 1.643 0.774 5.560
O 0.500 4.340 5.823
O 4.543 -0.478 2.853
O 3.478 3.509 2.809
O 2.910 -1.505 7.307
```

Calculated values
**ΔE to the lowest computed polymorph**: 6.38 kJ/mol of atoms
**DFT total energy**: -207.05 eV for the cell shown
**Raw formation energy**: -2.6465 eV per atom
**SG**: P1
**Magnetic moment**: 1.777 μB/f.u.